No. 1
# NdHgPt (PBE-GGA, relaxed)
data_NdHgPt
_chemical_formula_sum 'Nd2 Hg2 Pt2'
_symmetry_space_group_name_H-M 'P 1'
_symmetry_Int_Tables_number 1
_symmetry_space_group_name_Hall 'P 1'
_cell_length_a 5.649
_cell_length_b 5.649
_cell_length_c 7.734
_cell_angle_alpha 119.18
_cell_angle_beta 119.18
_cell_angle_gamma 42.73
loop_
_atom_site_label
_atom_site_fract_x
_atom_site_fract_y
_atom_site_fract_z
_atom_site_occupancy
Nd1 0.061 0.061 0.318 1
Nd2 0.939 0.939 0.682 1
Hg1 0.333 0.333 0.929 1
Hg2 0.667 0.667 0.071 1
Pt1 0.355 0.355 0.343 1
Pt2 0.645 0.645 0.657 1
# DFT formation energy = -802 meV/atom



No. 2
# Ta2WBr (PBE-GGA, relaxed)
data_Ta2WBr
_chemical_formula_sum 'Ta2 W1 Br1'
_symmetry_space_group_name_H-M 'P 1'
_symmetry_Int_Tables_number 1
_symmetry_space_group_name_Hall 'P 1'
_cell_length_a 3.260
_cell_length_b 3.260
_cell_length_c 7.711
_cell_angle_alpha 90.00
_cell_angle_beta 90.00
_cell_angle_gamma 90.00
loop_
_atom_site_label
_atom_site_fract_x
_atom_site_fract_y
_atom_site_fract_z
_atom_site_occupancy
Ta1 0.000 0.000 0.000 1
Ta2 0.500 0.500 0.212 1
W1 0.000 0.000 0.388 1
Br1 0.500 0.500 0.742 1
# ΔE to the lowest computed polymorph = 353 meV per atom
# raw formation energy = 2.09 eV/f.u.



No. 3
# TbCo5P3 (PBE-GGA, relaxed)
data_TbCo5P3
_chemical_formula_sum 'Tb2 Co10 P6'
_symmetry_space_group_name_H-M 'P 1'
_symmetry_Int_Tables_number 1
_symmetry_space_group_name_Hall 'P 1'
_cell_length_a 5.949
_cell_length_b 5.949
_cell_length_c 11.304
_cell_angle_alpha 90.00
_cell_angle_beta 90.00
_cell_angle_gamma 144.90
loop_
_atom_site_label
_atom_site_fract_x
_atom_site_fract_y
_atom_site_fract_z
_atom_site_occupancy
Tb1 0.158 0.842 0.750 1
Tb2 0.842 0.158 0.250 1
Co1 0.000 0.000 0.000 1
Co2 0.000 0.000 0.500 1
Co3 0.199 0.801 0.071 1
Co4 0.199 0.801 0.429 1
Co5 0.446 0.554 0.643 1
Co6 0.446 0.554 0.857 1
Co7 0.554 0.446 0.143 1
Co8 0.554 0.446 0.357 1
Co9 0.801 0.199 0.571 1
Co10 0.801 0.199 0.929 1
P1 0.111 0.889 0.250 1
P2 0.383 0.617 0.041 1
P3 0.383 0.617 0.459 1
P4 0.617 0.383 0.541 1
P5 0.617 0.383 0.959 1
P6 0.889 0.111 0.750 1
# ΔE to the lowest computed polymorph = 58 meV per atom
# DFT formation energy = -780 meV/atom



No. 4
# Sr2PaSb3 (PBE-GGA, relaxed)
data_Sr2PaSb3
_chemical_formula_sum 'Sr8 Pa4 Sb12'
_symmetry_space_group_name_H-M 'P 1'
_symmetry_Int_Tables_number 1
_symmetry_space_group_name_Hall 'P 1'
_cell_length_a 15.318
_cell_length_b 14.604
_cell_length_c 8.019
_cell_angle_alpha 79.44
_cell_angle_beta 69.59
_cell_angle_gamma 30.97
loop_
_atom_site_label
_atom_site_fract_x
_atom_site_fract_y
_atom_site_fract_z
_atom_site_occupancy
Sr1 0.045 0.045 0.205 1
Sr2 0.122 0.122 0.628 1
Sr3 0.205 0.205 0.045 1
Sr4 0.372 0.372 0.878 1
Sr5 0.628 0.628 0.122 1
Sr6 0.795 0.795 0.955 1
Sr7 0.878 0.878 0.372 1
Sr8 0.955 0.955 0.795 1
Pa1 0.291 0.291 0.459 1
Pa2 0.459 0.459 0.291 1
Pa3 0.541 0.541 0.709 1
Pa4 0.709 0.709 0.541 1
Sb1 0.037 0.535 0.241 1
Sb2 0.154 0.596 0.596 1
Sb3 0.241 0.686 0.037 1
Sb4 0.314 0.759 0.465 1
Sb5 0.404 0.846 0.846 1
Sb6 0.465 0.963 0.314 1
Sb7 0.535 0.037 0.686 1
Sb8 0.596 0.154 0.154 1
Sb9 0.686 0.241 0.535 1
Sb10 0.759 0.314 0.963 1
Sb11 0.846 0.404 0.404 1
Sb12 0.963 0.465 0.759 1
# raw formation energy = -5.19 eV/f.u.